Computed, not measured: a relaxed K2Li2Tc crystal at the GGA-PBE level of DFT.

```
10
Lattice="7.655 -0.089 3.565 -1.411 -2.368 5.896 5.882 -6.309 4.291" Properties=species:S:1:pos:R:3 pbc="T T T"
K 5.824 -0.457 3.009
K 0.334 -2.915 5.224
K 1.465 -1.845 2.332
K 4.512 -3.452 3.316
Li 5.731 -1.798 6.011
Li 3.204 -4.466 6.158
Li 6.488 -5.976 9.072
Li 8.834 -5.235 6.339
Tc 6.026 -4.770 6.356
Tc 9.058 -6.962 9.794
```

volume = 284.7 Å³ per cell
magnetization = 5.35 Bohr magnetons per cell
final energy = -2.341 eV per atom